# 1
# Tm2CdGa

A relaxed Tm2CdGa crystal (PBE-GGA, Alexandria via LeMat-Bulk).

Cell: 3.5655 3.5655 9.4613 Å, 79.14 79.14 60.00°
Fractional coordinates of all 4 atoms:
Tm 0.2560 0.2560 0.2319
Tm 0.7440 0.7440 0.7681
Cd 0.5000 0.5000 0.5000
Ga 0.0000 0.0000 0.0000

Summary:
The final energy is -3.53 eV/atom. For the energy of formation, the calculation gives -0.3061 eV/atom.


# 2
# TmCdGa2

A relaxed TmCdGa2 crystal (PBE-GGA, Alexandria via LeMat-Bulk).

Cell: 3.4004 3.4004 7.3231 Å, 90.00 90.00 90.00°
Site moments in Bohr magnetons follow the coordinates.
Fractional coordinates of all 4 atoms:
Ga 0.0000 0.0000 0.7414  0.00
Ga 0.0000 0.0000 0.2586  0.00
Tm 0.5000 0.5000 0.0000  0.08
Cd 0.5000 0.5000 0.5000  0.00

Summary:
The polymorph energy (0 for the lowest one) is 0.186 eV per atom. The final energy is -3.08 eV/atom. For the energy of formation, the calculation gives -0.2167 eV/atom.


# 3
# Tm4CdGa2

A relaxed Tm4CdGa2 crystal (PBE-GGA, Alexandria via LeMat-Bulk).

Cell: 4.9351 4.9351 9.3217 Å, 74.65 74.65 60.00°
Fractional coordinates of all 7 atoms:
Tm 0.2062 0.2062 0.3813
Tm 0.6181 0.6181 0.1456
Tm 0.7938 0.7938 0.6187
Tm 0.3819 0.3819 0.8544
Ga 0.9013 0.9013 0.2960
Ga 0.0987 0.0987 0.7040
Cd 0.0000 0.0000 0.0000

Summary:
The polymorph energy (0 for the lowest one) is 0.151 eV per atom. The final energy is -3.76 eV/atom. For the energy of formation, the calculation gives -0.2115 eV/atom.